Entry from Alexandria via LeMat-Bulk: a geometry-optimized U4S6F structure (PBE-GGA).

Lattice parameters (Å, degrees): 3.657 8.435 8.435 120.00 90.00 90.00
Each line ends with the local moment (μB).
Fractional positions:
U 0.500 0.823 0.647  2.49
U 0.500 0.353 0.177  2.49
U 0.500 0.823 0.177  2.49
U 0.000 0.333 0.667  2.22
S 0.000 0.542 0.084  -0.10
S 0.500 0.616 0.808  -0.08
S 0.000 0.542 0.458  -0.10
S 0.000 0.916 0.458  -0.10
S 0.500 0.192 0.808  -0.08
S 0.500 0.192 0.384  -0.08
F 0.000 0.000 0.000  0.00

* energy: -7.972 eV/atom
* symmetry: P-6m2 (187)
* density of states at the Fermi level: 22.43 states/eV per cell